Entry 1:
! PBE Rb3Ac3SbS8, optimized geometry; values from VASP
&SYSTEM
  ibrav = 0, nat = 15, ntyp = 4
/
ATOMIC_SPECIES
Rb 85.47 Rb.upf
Ac 227.00 Ac.upf
Sb 121.76 Sb.upf
S 32.06 S.upf
ATOMIC_POSITIONS angstrom
Rb -2.168 -1.252 7.859
Rb -2.168 1.252 15.718
Rb 0.000 2.503 7.859
Ac -4.335 0.000 11.788
Ac -2.168 1.252 3.929
Ac 2.168 1.252 3.929
Sb 0.000 0.000 11.788
S 0.000 0.000 5.533
S -1.961 -1.132 13.270
S 0.000 -2.265 10.306
S -1.961 1.132 10.306
S 1.961 -1.132 13.270
S 0.000 2.265 13.270
S 1.961 1.132 10.306
S 0.000 0.000 18.044
CELL_PARAMETERS angstrom
4.335 2.503 7.859
-4.335 2.503 7.859
0.000 -5.006 7.859
! - N(E_F): 2.83 states/eV per cell
! - ρ: 4.3 Mg/m³
! - Symmetry: No. 166
! - ΔE_f (raw): -1.506 eV per atom
! - Final energy: -4.997 eV/atom
! - Spin magnetization: 0.000 μB/cell

---

Entry 2:
! PBE YSc2W, optimized geometry; values from VASP
&SYSTEM
  ibrav = 0, nat = 8, ntyp = 3
/
ATOMIC_SPECIES
Y 88.91 Y.upf
Sc 44.96 Sc.upf
W 183.84 W.upf
ATOMIC_POSITIONS angstrom
Y 0.000 0.000 0.000
Y 1.852 2.438 0.000
Sc 0.000 0.000 4.453
Sc 0.000 2.438 7.150
Sc 1.852 0.000 7.150
Sc 1.852 2.438 4.453
W 0.000 2.438 2.335
W 1.852 0.000 2.335
CELL_PARAMETERS angstrom
3.704 0.000 0.000
0.000 4.876 0.000
0.000 0.000 10.161
! - DFT formation energy: 0.36 eV/atom
! - N(E_F): 12.28 states/eV per cell
! - Distance to the lowest polymorph of the same formula: 0.095 eV per atom
! - ρ: 6.6 Mg/m³
! - Symmetry: No. 35
! - Final energy: -7.659 eV/atom
! - Spin magnetization: 0.001 μB/cell

---

Entry 3:
! PBE Pr3Np5O12, optimized geometry; values from VASP
&SYSTEM
  ibrav = 0, nat = 80, ntyp = 3
/
ATOMIC_SPECIES
Pr 140.91 Pr.upf
Np 237.00 Np.upf
O 16.00 O.upf
ATOMIC_POSITIONS angstrom
Pr 3.460 1.730 0.000
Pr 6.919 3.460 -1.730
Pr 1.730 0.000 3.460
Pr 8.649 0.000 3.460
Pr 0.000 3.460 1.730
Pr 3.460 -1.730 6.919
Pr 3.460 8.649 0.000
Pr 6.919 3.460 5.190
Pr -1.730 6.919 3.460
Pr 5.190 6.919 3.460
Pr 0.000 3.460 8.649
Pr 3.460 5.190 6.919
Np 0.000 0.000 0.000
Np 3.460 3.460 -3.460
Np 3.460 -3.460 3.460
Np 6.919 0.000 0.000
Np 10.379 1.730 0.000
Np 6.919 -3.460 5.190
Np 5.190 6.919 -3.460
Np 5.190 0.000 3.460
Np 3.460 5.190 0.000
Np 6.919 3.460 1.730
Np -3.460 3.460 3.460
Np 0.000 6.919 0.000
Np 0.000 0.000 6.919
Np 3.460 3.460 3.460
Np 0.000 3.460 5.190
Np 3.460 1.730 6.919
Np 1.730 6.919 3.460
Np 1.730 0.000 10.379
Np 0.000 10.379 1.730
Np -3.460 5.190 6.919
O 2.099 -0.297 0.892
O 8.280 4.351 -3.757
O 9.019 0.297 0.892
O 8.280 -2.568 3.757
O 6.622 -0.892 2.099
O 10.676 -1.361 2.568
O 0.892 2.099 -0.297
O 9.488 3.163 -1.361
O 4.351 3.757 -1.361
O 6.028 2.099 0.297
O -0.297 0.892 2.099
O 3.757 -1.361 4.351
O 6.622 6.028 -2.099
O 3.757 1.361 2.568
O 4.351 -3.757 8.280
O 6.028 -2.099 6.622
O 2.568 3.757 1.361
O 7.811 4.820 0.297
O 3.757 8.280 -2.568
O 6.622 0.892 4.820
O 2.099 6.622 -0.892
O 8.280 2.568 3.163
O 1.361 2.568 3.757
O 2.099 0.297 6.028
O 4.820 6.622 0.892
O 5.559 4.351 3.163
O -1.361 4.351 3.757
O 4.820 0.297 7.811
O 0.297 6.028 2.099
O 3.163 -1.361 9.488
O -0.892 2.099 6.622
O 4.351 3.163 5.559
O 0.892 9.019 0.297
O 2.568 10.676 -1.361
O 3.163 5.559 4.351
O 0.297 0.892 9.019
O 3.163 8.280 2.568
O 7.217 6.028 4.820
O 0.892 4.820 6.622
O 2.568 3.163 8.280
O -2.568 3.757 8.280
O 6.028 4.820 7.217
O -3.757 8.280 4.351
O 0.297 7.811 4.820
O -1.361 9.488 3.163
O -2.099 6.622 6.028
O -1.361 2.568 10.676
O 4.820 7.217 6.028
CELL_PARAMETERS angstrom
-6.919 6.919 6.919
6.919 -6.919 6.919
6.919 6.919 -6.919
! - N(E_F): 144.43 states/eV per cell
! - ρ: 9.0 Mg/m³
! - Symmetry: No. 230
! - ΔE_f (raw): -2.844 eV per atom
! - Final energy: -9.771 eV/atom
! - Spin magnetization: 76.981 μB/cell

---

Entry 4:
! PBE Sr2LaSn, optimized geometry; values from VASP
&SYSTEM
  ibrav = 0, nat = 12, ntyp = 3
/
ATOMIC_SPECIES
Sr 87.62 Sr.upf
La 138.91 La.upf
Sn 118.71 Sn.upf
ATOMIC_POSITIONS angstrom
Sr 0.000 0.000 3.348
Sr 0.000 0.000 36.443
Sr 0.000 2.220 23.179
Sr 0.000 2.220 29.876
Sr 1.923 1.110 9.916
Sr 1.923 1.110 16.612
La 0.000 0.000 19.896
La 0.000 2.220 6.632
La 1.923 1.110 33.159
Sn 0.000 0.000 0.000
Sn 0.000 2.220 26.528
Sn 1.923 1.110 13.264
CELL_PARAMETERS angstrom
3.846 0.000 0.000
-1.923 3.331 0.000
0.000 0.000 39.791
! - DFT formation energy: 0.16 eV/atom
! - N(E_F): 12.59 states/eV per cell
! - ρ: 4.2 Mg/m³
! - Symmetry: No. 166
! - Final energy: -2.916 eV/atom
! - Spin magnetization: 0.000 μB/cell

---

Entry 5:
! PBE LaTbCe2Se4, optimized geometry; values from VASP
&SYSTEM
  ibrav = 0, nat = 8, ntyp = 4
/
ATOMIC_SPECIES
La 138.91 La.upf
Tb 158.93 Tb.upf
Ce 140.12 Ce.upf
Se 78.96 Se.upf
ATOMIC_POSITIONS angstrom
La 0.000 0.000 0.000
Tb 3.643 2.092 0.000
Ce -1.202 2.092 3.456
Ce 2.441 0.000 3.456
Se 1.281 2.092 1.734
Se 0.077 0.000 5.218
Se 4.805 0.000 1.694
Se 3.602 2.092 5.178
CELL_PARAMETERS angstrom
7.286 0.000 0.000
0.000 4.184 0.000
-2.403 0.000 6.912
! - N(E_F): 13.32 states/eV per cell
! - ρ: 7.0 Mg/m³
! - Symmetry: No. 10
! - ΔE_f (raw): -1.850 eV per atom
! - Final energy: -6.271 eV/atom
! - Spin magnetization: 2.008 μB/cell

---

Entry 6:
! PBE Ce2Pu3Sb3, optimized geometry; values from VASP
&SYSTEM
  ibrav = 0, nat = 16, ntyp = 3
/
ATOMIC_SPECIES
Ce 140.12 Ce.upf
Pu 244.00 Pu.upf
Sb 121.76 Sb.upf
ATOMIC_POSITIONS angstrom
Ce 0.000 4.726 0.000
Ce 0.000 4.726 3.968
Ce 4.093 2.363 0.000
Ce 4.093 2.363 3.968
Pu -0.674 1.168 1.984
Pu -3.419 5.921 5.951
Pu 1.349 0.000 1.984
Pu 0.674 1.168 5.951
Pu 6.837 0.000 5.951
Pu 3.419 5.921 1.984
Sb -1.786 3.093 5.951
Sb -2.307 3.997 1.984
Sb 3.571 0.000 5.951
Sb 1.786 3.093 1.984
Sb 4.615 0.000 1.984
Sb 2.307 3.997 5.951
CELL_PARAMETERS angstrom
8.186 0.000 0.000
-4.093 7.089 0.000
0.000 0.000 7.935
! - N(E_F): 50.88 states/eV per cell
! - ρ: 9.9 Mg/m³
! - Symmetry: No. 193
! - ΔE_f (raw): -0.074 eV per atom
! - Final energy: -8.477 eV/atom
! - Spin magnetization: 4.294 μB/cell

---

Entry 7:
! PBE Ba2LiHg2, optimized geometry; values from VASP
&SYSTEM
  ibrav = 0, nat = 10, ntyp = 3
/
ATOMIC_SPECIES
Ba 137.33 Ba.upf
Li 6.94 Li.upf
Hg 200.59 Hg.upf
ATOMIC_POSITIONS angstrom
Ba -1.958 0.000 3.902
Ba 1.661 0.000 1.263
Ba 4.817 0.000 10.156
Ba 8.436 0.000 7.518
Li -0.242 0.000 7.249
Li 6.721 0.000 4.170
Hg 1.655 0.000 4.886
Hg 5.292 0.000 1.436
Hg 1.186 0.000 9.984
Hg 4.823 0.000 6.534
CELL_PARAMETERS angstrom
6.207 -2.453 0.000
6.207 2.453 0.000
-5.936 0.000 11.419
! - DFT formation energy: -0.40 eV/atom
! - N(E_F): 8.67 states/eV per cell
! - Distance to the lowest polymorph of the same formula: 0.000 eV per atom
! - ρ: 6.5 Mg/m³
! - Symmetry: No. 12
! - Final energy: -1.677 eV/atom
! - Spin magnetization: 0.000 μB/cell

---

Entry 8:
! PBE LaCr2SbI, optimized geometry; values from VASP
&SYSTEM
  ibrav = 0, nat = 5, ntyp = 4
/
ATOMIC_SPECIES
La 138.91 La.upf
Cr 52.00 Cr.upf
Sb 121.76 Sb.upf
I 126.90 I.upf
ATOMIC_POSITIONS angstrom
La 0.000 0.000 0.000
Cr 0.000 2.371 3.002
Cr 2.371 0.000 3.002
Sb 2.371 2.371 0.000
I 0.000 0.000 3.002
CELL_PARAMETERS angstrom
4.742 0.000 0.000
0.000 4.742 0.000
0.000 0.000 6.003
! - N(E_F): 11.29 states/eV per cell
! - ρ: 6.0 Mg/m³
! - Symmetry: No. 123
! - ΔE_f (raw): 1.099 eV per atom
! - Final energy: -4.871 eV/atom
! - Spin magnetization: 0.037 μB/cell

---

Entry 9:
! PBE K3Hg2Cl7, optimized geometry; values from VASP
&SYSTEM
  ibrav = 0, nat = 12, ntyp = 3
/
ATOMIC_SPECIES
K 39.10 K.upf
Hg 200.59 Hg.upf
Cl 35.45 Cl.upf
ATOMIC_POSITIONS angstrom
K 0.000 0.000 0.000
K 0.000 0.000 4.528
K 0.000 0.000 21.229
Hg 0.000 0.000 10.200
Hg 0.000 0.000 15.557
Cl 2.701 0.000 2.508
Cl 0.000 0.000 7.630
Cl 2.701 0.000 10.370
Cl 0.000 0.000 12.878
Cl 0.000 2.701 2.508
Cl 0.000 0.000 18.126
Cl 0.000 2.701 10.370
CELL_PARAMETERS angstrom
-2.701 2.701 12.878
2.701 -2.701 12.878
2.701 2.701 -12.878
! - Distance to the lowest polymorph of the same formula: 0.000 eV per atom
! - ρ: 3.4 Mg/m³
! - Symmetry: No. 139
! - ΔE_f (raw): -1.242 eV per atom
! - Final energy: -2.644 eV/atom
! - Spin magnetization: 0.000 μB/cell

---

Entry 10:
! PBE AcCdGa2Ag, optimized geometry; values from VASP
&SYSTEM
  ibrav = 0, nat = 10, ntyp = 4
/
ATOMIC_SPECIES
Ac 227.00 Ac.upf
Cd 112.41 Cd.upf
Ga 69.72 Ga.upf
Ag 107.87 Ag.upf
ATOMIC_POSITIONS angstrom
Ac 0.000 0.000 0.000
Ac 2.285 2.285 5.581
Cd 0.000 2.285 8.371
Cd 2.285 0.000 2.790
Ga 0.000 0.000 4.328
Ga 0.000 0.000 6.834
Ga 2.285 2.285 1.253
Ga 2.285 2.285 9.909
Ag 0.000 2.285 2.790
Ag 2.285 0.000 8.371
CELL_PARAMETERS angstrom
4.569 0.000 0.000
0.000 4.569 0.000
0.000 0.000 11.162
! - DFT formation energy: -0.42 eV/atom
! - N(E_F): 4.45 states/eV per cell
! - ρ: 8.4 Mg/m³
! - Symmetry: No. 119
! - Final energy: -3.204 eV/atom
! - Spin magnetization: 0.000 μB/cell

---

Which formula does entry 4 have?
Sr2LaSn

---

The lowest final energy belongs to which entry?
Pr3Np5O12

---

Number 1 is which compound?
Rb3Ac3SbS8